VASP calculation (PBE) on SbRhW2 after structural relaxation.

- Magnetic moment: 0.000 μB per cell
- Raw formation energy: 0.269 eV per atom
- DFT total energy: -9.076 eV per atom
- Calculated volume: 68.3 Å³/cell

a = 3.3222 Å, b = 3.3222 Å, c = 6.1922 Å
α = 90.00°, β = 90.00°, γ = 90.00°
Last column: nearest neighbours and their distance in Å.
Space group P4mm (No. 99)
Symmetry-distinct sites (fractional):
Sb (0.0000, 0.0000, 0.0000) [1 per cell]  4 Rh 2.81, 6 W 2.93-3.13
Rh (0.5000, 0.5000, 0.7513) [1 per cell]  5 W 2.80-2.91, 4 Sb 2.81
W (0.0000, 0.0000, 0.5049) [1 per cell]  4 W 2.72, 4 Rh 2.80
W (0.5000, 0.5000, 0.2819) [1 per cell]  4 W 2.72, 1 Rh 2.91, 4 Sb 2.93